First-principles (PBE) data for a relaxed structure of H4Pd5Pb, as listed in the Alexandria database.

Properties
Its spin magnetization is 0.00 μB per cell. Its symmetry is No. 59. The crystal system is orthorhombic. The calculation puts the density of states at the Fermi level at 6.556 states/eV/cell. The total energy is -4.3608 eV/atom.

```
20
Lattice="-2.1653 -4.5190 -0.8881 5.0462 -2.0381 -1.9324 1.9367 -2.4244 7.6144" Properties=species:S:1:pos:R:3 pbc="T T T"
Pd 0.3350 -2.5341 3.5474
H 1.1472 -5.2563 -0.0901
Pd 0.2099 -4.6504 1.3089
Pd 1.1163 -2.0998 0.6440
H 0.9971 -2.5179 5.2594
Pd 2.3565 -3.6523 5.5202
Pd 0.9912 -4.2161 -1.5945
H 0.7882 -4.1904 2.9048
Pb 3.1657 -2.9111 2.7074
H 0.1790 -1.4939 2.0431
H 0.5380 -2.5598 -0.9519
Pd 4.7798 -4.6310 4.5922
Pd 2.8329 -5.7098 0.3045
Pd 3.5395 -3.0785 -0.2839
Pb -1.8395 -3.8391 -0.7545
Pd 0.9064 -5.5223 4.0472
H 2.6274 -3.4037 -1.7520
H 2.2658 -6.6567 4.3080
H 3.7450 -5.3847 1.7725
Pd 3.5293 -6.5817 3.0427
```